# 1
Computed, not measured: crystalline CaPb2F11 at its relaxed geometry at the PBE-GGA level of DFT.

The structure belongs to space group Ibam (No. 72); the cell edges are 8.3375, 10.3725 and 10.9091 Å and the angles 90.00°, 90.00° and 90.00°. Symmetry generates all atoms from Ca at (0.0000, 0.0000, 0.2500), Pb at (0.1672, 0.3015, 0.0000), F at (0.0000, 0.5000, 0.0000), F at (0.1013, 0.3128, 0.5000), F at (0.1060, 0.1716, 0.1368) and F at (0.2270, 0.0840, 0.3675).

The value obtained for the uncorrected energy is -4.291 eV per atom.

# 2
Computed, not measured: crystalline Ca2PbF2 at its relaxed geometry at the PBE-GGA level of DFT.

The structure belongs to space group I4/mmm (No. 139); the cell edges are 3.8147, 3.8147 and 14.5365 Å and the angles 90.00°, 90.00° and 90.00°. Symmetry generates all atoms from Ca at (0.0000, 0.0000, 0.1575), Pb at (0.0000, 0.0000, 0.5000) and F at (0.0000, 0.5000, 0.2500).

The value obtained for the uncorrected energy is -4.844 eV per atom.

# 3
Computed, not measured: crystalline CaPbF6 at its relaxed geometry at the PBE-GGA level of DFT.

The structure belongs to space group P312 (No. 149); the cell edges are 5.4641, 5.4641 and 5.2870 Å and the angles 90.00°, 90.00° and 120.00°. Symmetry generates all atoms from Ca at (0.0000, 0.0000, 0.0000), Pb at (0.3333, 0.6667, 0.5000) and F at (0.0342, 0.3484, 0.2626).

The value obtained for the uncorrected energy is -4.818 eV per atom.

# 4
Computed, not measured: crystalline RbCaPb2F at its relaxed geometry at the PBE-GGA level of DFT.

The structure belongs to space group P4/mmm (No. 123); the cell edges are 6.6680, 6.6680 and 4.1901 Å and the angles 90.00°, 90.00° and 90.00°. Symmetry generates all atoms from Rb at (0.0000, 0.0000, 0.0000), Ca at (0.5000, 0.5000, 0.5000), Pb at (0.0000, 0.5000, 0.5000) and F at (0.5000, 0.5000, 0.0000).

The value obtained for the uncorrected energy is -3.319 eV per atom.

# 5
Computed, not measured: crystalline RbCa2PbF8 at its relaxed geometry at the PBE-GGA level of DFT.

The structure belongs to space group Pmmm (No. 47); the cell edges are 4.1372, 5.8510 and 7.9455 Å and the angles 90.00°, 90.00° and 90.00°. Symmetry generates all atoms from Rb at (0.0000, 0.0000, 0.0000), Ca at (0.5000, 0.5000, 0.2399), Pb at (0.0000, 0.0000, 0.5000), F at (0.0000, 0.2733, 0.2837), F at (0.5000, 0.2306, 0.5000) and F at (0.5000, 0.2865, 0.0000).

The value obtained for the uncorrected energy is -5.033 eV per atom.

# 6
Computed, not measured: crystalline RbCaPbF6 at its relaxed geometry at the PBE-GGA level of DFT.

The structure belongs to space group P312 (No. 149); the cell edges are 6.2335, 6.2335 and 5.6886 Å and the angles 90.00°, 90.00° and 120.00°. Symmetry generates all atoms from Rb at (0.0000, 0.0000, 0.0000), Ca at (0.6667, 0.3333, 0.5000), Pb at (0.3333, 0.6667, 0.5000) and F at (0.0008, 0.3763, 0.7079).

The value obtained for the uncorrected energy is -4.817 eV per atom.

# 7
Computed, not measured: crystalline RbCaPb2F8 at its relaxed geometry at the PBE-GGA level of DFT.

The structure belongs to space group Pmmm (No. 47); the cell edges are 4.1690, 5.9092 and 8.2166 Å and the angles 90.00°, 90.00° and 90.00°. Symmetry generates all atoms from Rb at (0.0000, 0.0000, 0.0000), Ca at (0.0000, 0.0000, 0.5000), Pb at (0.5000, 0.5000, 0.2536), F at (0.0000, 0.2660, 0.2822), F at (0.5000, 0.2329, 0.5000) and F at (0.5000, 0.2902, 0.0000).

The value obtained for the uncorrected energy is -4.819 eV per atom.

# 8
Computed, not measured: crystalline CaSi2PbF at its relaxed geometry at the PBE-GGA level of DFT.

The structure belongs to space group P4/mmm (No. 123); the cell edges are 4.6864, 4.6864 and 4.9257 Å and the angles 90.00°, 90.00° and 90.00°. Symmetry generates all atoms from Ca at (0.0000, 0.0000, 0.0000), Si at (0.0000, 0.5000, 0.5000), Pb at (0.5000, 0.5000, 0.0000) and F at (0.5000, 0.5000, 0.5000).

The value obtained for the uncorrected energy is -3.882 eV per atom.

# 9
Computed, not measured: crystalline SrCaPbF6 at its relaxed geometry at the PBE-GGA level of DFT.

The structure belongs to space group P4_2nm (No. 102); the cell edges are 5.4908, 5.4908 and 11.4088 Å and the angles 90.00°, 90.00° and 90.00°. Symmetry generates all atoms from Sr at (0.0000, 0.0000, 0.0000), Ca at (0.0000, 0.0000, 0.6658), Pb at (0.0000, 0.0000, 0.3317), F at (0.1835, 0.1835, 0.8245), F at (0.1881, 0.1881, 0.5105) and F at (0.2046, 0.2046, 0.1639).

The value obtained for the uncorrected energy is -5.442 eV per atom.

# 10
Computed, not measured: crystalline SrCa2PbF at its relaxed geometry at the PBE-GGA level of DFT.

The structure belongs to space group P4/mmm (No. 123); the cell edges are 5.0871, 5.0871 and 5.3542 Å and the angles 90.00°, 90.00° and 90.00°. Symmetry generates all atoms from Sr at (0.0000, 0.0000, 0.0000), Ca at (0.0000, 0.5000, 0.5000), Pb at (0.5000, 0.5000, 0.0000) and F at (0.0000, 0.0000, 0.5000).

The value obtained for the uncorrected energy is -3.533 eV per atom.

# 11
Computed, not measured: crystalline CaZn2PbF8 at its relaxed geometry at the PBE-GGA level of DFT.

The structure belongs to space group I-4 (No. 82); the cell edges are 5.4710, 5.4710 and 11.6459 Å and the angles 90.00°, 90.00° and 90.00°. Symmetry generates all atoms from Ca at (0.0000, 0.0000, 0.0000), Zn at (0.0000, 0.0000, 0.5000), Zn at (0.0000, 0.5000, 0.7500), Pb at (0.0000, 0.5000, 0.2500), F at (0.1565, 0.7593, 0.8396) and F at (0.1801, 0.2585, 0.4206).

The value obtained for the uncorrected energy is -4.668 eV per atom.

# 12
Computed, not measured: crystalline CaZr2PbF at its relaxed geometry at the PBE-GGA level of DFT.

The structure belongs to space group P4/mmm (No. 123); the cell edges are 5.5716, 5.5716 and 6.0631 Å and the angles 90.00°, 90.00° and 90.00°. Symmetry generates all atoms from Ca at (0.0000, 0.0000, 0.0000), Zr at (0.0000, 0.5000, 0.5000), Pb at (0.0000, 0.0000, 0.5000) and F at (0.5000, 0.5000, 0.0000).

The value obtained for the uncorrected energy is -4.360 eV per atom.

What is the formula in the twelfth record?
CaZr2PbF

Among the records above, which one has the highest uncorrected energy?
RbCaPb2F